Arrangement P

This record from Alexandria via LeMat-Bulk describes a relaxed Li4MnCo2O7 crystal. The functional is PBE with a Hubbard U. Values from VASP.

Cell and atoms, written as Quantum ESPRESSO input:
```
&SYSTEM
  ibrav = 0, nat = 28, ntyp = 4
/
ATOMIC_SPECIES
Li 6.94 Li.upf
Mn 54.94 Mn.upf
Co 58.93 Co.upf
O 16.00 O.upf
ATOMIC_POSITIONS angstrom
Li 0.0000 0.0000 0.0000
Li 4.6256 0.0000 3.5149
Li 9.3803 0.0000 2.0216
Li 14.3655 0.0000 0.7002
Li 16.5172 0.0000 2.4818
Li 18.7323 0.0000 4.1956
Li 23.4720 0.0000 2.7520
Li 28.4321 0.0000 1.3699
Mn 11.7533 0.0000 3.8639
Mn 25.7884 0.0000 4.5710
Co 2.3773 0.0000 1.6917
Co 7.1244 0.0000 0.2515
Co 21.2753 0.0000 0.9657
Co 30.6907 0.0000 3.1901
O 1.3748 0.0000 3.1510
O 3.7265 0.0000 0.2353
O 5.8709 0.0000 1.7161
O 8.1824 0.0000 3.8046
O 10.6551 0.0000 0.2968
O 13.0013 0.0000 2.4305
O 15.1597 0.0000 4.0123
O 17.9398 0.0000 0.8817
O 20.0169 0.0000 2.4057
O 22.3418 0.0000 4.5514
O 24.7080 0.0000 1.0185
O 27.1058 0.0000 3.0363
O 29.3029 0.0000 4.6954
O 31.7719 0.0000 1.6921
CELL_PARAMETERS angstrom
16.4953 -1.4343 0.0000
16.4953 1.4343 0.0000
-0.2127 0.0000 5.0551
```

Values from the calculation:
For the density of states at the Fermi level, the calculation gives 0.13 states/eV per atom.

***

Arrangement Q

This record from Alexandria via LeMat-Bulk describes a relaxed Li4MnCo2O7 crystal. The functional is PBE with a Hubbard U. Values from VASP.

Cell and atoms, written as Quantum ESPRESSO input:
```
&SYSTEM
  ibrav = 0, nat = 28, ntyp = 4
/
ATOMIC_SPECIES
Li 6.94 Li.upf
Mn 54.94 Mn.upf
Co 58.93 Co.upf
O 16.00 O.upf
ATOMIC_POSITIONS angstrom
Li 0.0000 0.0000 0.0000
Li -1.4978 1.1117 4.7169
Li -0.0884 4.1142 0.9261
Li -0.0329 3.3854 3.7725
Li 1.6138 -3.6199 6.5581
Li 2.9494 -0.6036 2.8542
Li 3.1084 -1.3099 5.6879
Li 4.4062 1.6768 1.8651
Mn 1.4279 1.6776 1.8901
Mn 2.9160 4.0762 0.9608
Co -0.0216 -0.6064 2.8387
Co 0.0663 -1.2848 5.6289
Co 1.5129 1.1115 4.7329
Co 2.9229 3.4392 3.7874
O -1.6323 3.7579 2.3537
O 0.1448 2.0612 0.5026
O -1.5384 3.2147 5.0798
O 0.0558 1.4259 3.1853
O 1.4015 -0.1901 1.5224
O 0.2530 0.7233 6.1727
O 1.3020 -0.8041 4.2486
O 1.5607 3.6174 2.3501
O 2.8249 2.1032 0.5699
O 1.5608 2.9928 5.0721
O 2.7584 1.3838 3.2930
O 4.4693 -0.4892 1.4781
O 2.9252 0.6708 6.1869
O 4.5010 -0.9042 4.2158
CELL_PARAMETERS angstrom
5.8560 0.0000 0.0000
-1.5617 6.3961 0.0000
-1.2862 -3.6459 6.5618
```

***

Which of them is the most stable, and which is the least stable? arrangement Q and arrangement P, in that order.

***

Arrangement P

This record from Alexandria via LeMat-Bulk describes a relaxed Li4MnCo2O7 crystal. The functional is PBE with a Hubbard U. Values from VASP.

Cell and atoms, written as Quantum ESPRESSO input:
```
&SYSTEM
  ibrav = 0, nat = 28, ntyp = 4
/
ATOMIC_SPECIES
Li 6.94 Li.upf
Mn 54.94 Mn.upf
Co 58.93 Co.upf
O 16.00 O.upf
ATOMIC_POSITIONS angstrom
Li 0.0000 0.0000 0.0000
Li -0.8189 2.8197 0.0000
Li -0.0839 1.5796 2.3944
Li -0.1290 3.0178 5.1274
Li -0.2218 4.5395 7.8012
Li 2.4940 0.7819 1.1292
Li 2.4012 2.3036 3.8030
Li 2.3561 3.7419 6.5360
Mn 0.6860 0.2294 5.1239
Mn 1.5862 5.0920 3.8065
Co -0.8710 4.3407 2.5028
Co 0.6599 1.7572 7.7481
Co 1.6123 3.5642 1.1823
Co 3.1431 0.9808 6.4276
O -0.8898 1.0937 4.4336
O 3.1620 4.2278 4.4968
O -0.9611 2.5757 6.9250
O -0.1945 0.0182 6.8389
O 0.0660 4.5970 0.7486
O 0.8900 1.8336 0.6073
O 1.5710 0.3593 3.3327
O 0.7256 3.4663 3.2115
O 1.5465 1.8552 5.7189
O 0.7011 4.9621 5.5977
O 1.3822 3.4878 8.3231
O 2.2061 0.7244 8.1818
O 2.4667 5.3032 2.0915
O 3.2333 2.7457 2.0054
CELL_PARAMETERS angstrom
4.9748 0.0000 0.0000
-1.6378 5.6393 0.0000
-1.0649 -0.3179 8.9304
```

***

Arrangement Q

This record from Alexandria via LeMat-Bulk describes a relaxed Li4MnCo2O7 crystal. The functional is PBE with a Hubbard U. Values from VASP.

Cell and atoms, written as Quantum ESPRESSO input:
```
&SYSTEM
  ibrav = 0, nat = 28, ntyp = 4
/
ATOMIC_SPECIES
Li 6.94 Li.upf
Mn 54.94 Mn.upf
Co 58.93 Co.upf
O 16.00 O.upf
ATOMIC_POSITIONS angstrom
Li 0.0000 0.0000 0.0000
Li 2.4895 8.9966 4.5053
Li 1.6964 4.1936 3.6575
Li 2.5057 6.2509 5.4320
Li 4.2131 5.5411 3.1958
Li 5.9206 4.8313 0.9596
Li 6.7298 6.8886 2.7341
Li 5.9367 2.0856 1.8864
Mn 4.9996 4.8844 5.9361
Mn 3.4266 6.1978 0.4555
Co 3.3540 3.4496 1.3921
Co 4.2143 8.2358 2.3864
Co 4.2120 2.8464 4.0052
Co 5.0723 7.6326 4.9995
O 2.5475 2.4255 3.0070
O 3.4500 4.4883 4.8927
O 1.8051 3.0312 0.2650
O 3.4940 7.3374 3.8993
O 2.6136 5.1822 1.8747
O 2.6465 7.8893 1.0396
O 4.3750 9.3171 5.6385
O 4.0513 1.7651 0.7531
O 5.7797 3.1929 5.3520
O 5.8126 5.9000 4.5169
O 4.9322 3.7449 2.4923
O 6.6212 8.0510 6.1266
O 4.9762 6.5939 1.4989
O 5.8787 8.6567 3.3846
CELL_PARAMETERS angstrom
5.1126 0.0000 0.0000
0.8516 7.6003 0.0000
2.4620 3.4819 6.3916
```

***

Which of them is the most stable, and which is the least stable? arrangement Q and arrangement P, in that order.

***

Arrangement P

This record from Alexandria via LeMat-Bulk describes a relaxed Li4MnCo2O7 crystal. The functional is PBE with a Hubbard U. Values from VASP.

Cell and atoms, written as Quantum ESPRESSO input:
```
&SYSTEM
  ibrav = 0, nat = 28, ntyp = 4
/
ATOMIC_SPECIES
Li 6.94 Li.upf
Mn 54.94 Mn.upf
Co 58.93 Co.upf
O 16.00 O.upf
ATOMIC_POSITIONS angstrom
Li 0.0000 0.0000 0.0000
Li -0.3012 -2.2845 6.9733
Li -0.0515 2.4126 3.1189
Li -0.1850 2.7141 8.1775
Li 0.1179 7.4321 4.3437
Li 1.4966 2.2578 0.6168
Li 1.3787 2.5705 5.6157
Li 1.6326 7.2887 1.8979
Mn -0.0941 5.0187 6.3506
Mn 1.5213 4.8699 3.7463
Co -0.1387 0.1188 4.9785
Co 0.1246 4.8031 1.2159
Co 1.4287 0.0055 2.4109
Co 1.3164 0.2403 7.4665
O -0.2149 -1.0676 3.4833
O 0.0577 1.0732 1.6704
O -0.1967 -0.8264 8.4407
O -0.1624 1.3195 6.5033
O -0.1637 3.8134 4.7263
O 0.2129 5.9862 2.7910
O 0.1690 8.5219 1.1364
O 1.1797 -3.4618 7.7130
O 1.3243 -0.9451 5.9523
O 1.3864 1.1357 3.9847
O 1.6075 3.7378 2.1620
O 1.6433 5.9154 0.2588
O 1.3950 3.9988 7.0971
O 1.4145 5.9867 5.3915
CELL_PARAMETERS angstrom
2.9937 0.0000 0.0000
-1.2530 9.6954 0.0000
-0.3287 -4.4677 8.7415
```

Values from the calculation:
For the density of states at the Fermi level, the calculation gives 0.02 states/eV per atom.

***

Arrangement Q

This record from Alexandria via LeMat-Bulk describes a relaxed Li4MnCo2O7 crystal. The functional is PBE with a Hubbard U. Values from VASP.

Cell and atoms, written as Quantum ESPRESSO input:
```
&SYSTEM
  ibrav = 0, nat = 28, ntyp = 4
/
ATOMIC_SPECIES
Li 6.94 Li.upf
Mn 54.94 Mn.upf
Co 58.93 Co.upf
O 16.00 O.upf
ATOMIC_POSITIONS angstrom
Li 0.0000 0.0000 0.0000
Li -1.1007 0.0000 4.0841
Li 2.7849 0.0000 0.7793
Li 0.6229 0.0000 8.9397
Li 4.5360 0.0000 5.6482
Li 8.4968 0.0000 2.1746
Li 6.3010 0.0000 10.3984
Li 10.0215 0.0000 7.3229
Mn 1.6881 0.0000 4.8427
Mn 5.6658 0.0000 1.6035
Co -2.2016 0.0000 8.0366
Co 3.4053 0.0000 9.6479
Co 7.2678 0.0000 6.5354
Co 11.1892 0.0000 3.1896
O -0.6349 0.0000 2.0396
O -1.5498 0.0000 6.2070
O -2.8274 0.0000 9.8558
O 2.4093 0.0000 2.7920
O 1.0006 0.0000 6.9115
O 0.0216 0.0000 10.9623
O 4.9509 0.0000 3.5234
O 4.0315 0.0000 7.7556
O 9.0317 0.0000 0.2445
O 7.8733 0.0000 4.6522
O 6.5958 0.0000 8.3317
O 11.8609 0.0000 1.3822
O 10.5664 0.0000 5.0649
O 9.7377 0.0000 9.2677
CELL_PARAMETERS angstrom
7.5254 -1.4291 0.0000
7.5254 1.4291 0.0000
-6.0312 0.0000 11.1501
```

***

Arrangement R

This record from Alexandria via LeMat-Bulk describes a relaxed Li4MnCo2O7 crystal. The functional is PBE with a Hubbard U. Values from VASP.

Cell and atoms, written as Quantum ESPRESSO input:
```
&SYSTEM
  ibrav = 0, nat = 28, ntyp = 4
/
ATOMIC_SPECIES
Li 6.94 Li.upf
Mn 54.94 Mn.upf
Co 58.93 Co.upf
O 16.00 O.upf
ATOMIC_POSITIONS angstrom
Li 0.0000 0.0000 0.0000
Li -0.7655 0.0000 8.3210
Li 1.6003 0.0000 6.0186
Li 1.5856 0.0000 8.8361
Li 1.6951 0.0000 12.6526
Li 7.8611 0.0000 3.9894
Li 7.9707 0.0000 7.8058
Li 7.9560 0.0000 10.6233
Mn 4.0525 0.0000 2.9444
Mn 5.5038 0.0000 13.6975
Co 1.7483 0.0000 15.6106
Co 4.3551 0.0000 6.1343
Co 5.2012 0.0000 10.5077
Co 7.8079 0.0000 1.0314
O -0.2783 0.0000 6.3469
O 0.4299 0.0000 14.0672
O 1.9801 0.0000 0.4047
O 2.9910 0.0000 4.5794
O 2.9103 0.0000 7.4757
O 3.0360 0.0000 14.3128
O 5.3290 0.0000 1.4835
O 4.2272 0.0000 15.1584
O 6.5202 0.0000 2.3292
O 6.6459 0.0000 9.1662
O 6.5652 0.0000 12.0625
O 7.5761 0.0000 16.2372
O 9.1263 0.0000 2.5747
O 9.8346 0.0000 10.2951
CELL_PARAMETERS angstrom
5.5437 -1.7883 0.0000
5.5437 1.7883 0.0000
-1.5311 0.0000 16.6419
```

Values from the calculation:
For the density of states at the Fermi level, the calculation gives 0.11 states/eV per atom.

***

Arrangement S

This record from Alexandria via LeMat-Bulk describes a relaxed Li4MnCo2O7 crystal. The functional is PBE with a Hubbard U. Values from VASP.

Cell and atoms, written as Quantum ESPRESSO input:
```
&SYSTEM
  ibrav = 0, nat = 28, ntyp = 4
/
ATOMIC_SPECIES
Li 6.94 Li.upf
Mn 54.94 Mn.upf
Co 58.93 Co.upf
O 16.00 O.upf
ATOMIC_POSITIONS angstrom
Li 0.0000 0.0000 0.0000
Li -0.6640 -1.1416 4.9249
Li 0.1280 0.7077 2.8754
Li 0.0598 1.5738 5.6102
Li 0.0614 2.3646 8.2641
Li 2.6671 0.3251 1.5858
Li 2.6687 1.1159 4.2397
Li 2.6005 1.9820 6.9745
Mn 0.8243 2.6492 0.7609
Mn 1.9042 0.0405 9.0890
Co -0.6556 -0.3215 7.6375
Co 0.9022 3.4209 3.5912
Co 1.8263 -0.7312 6.2587
Co 3.3841 3.0112 2.2124
O -1.4811 1.1084 8.7360
O -0.6379 2.3738 3.7573
O -0.6715 3.2681 6.6553
O 0.0563 4.0500 1.9122
O 0.2302 -0.9730 9.3450
O 1.1216 -0.1465 4.5872
O 0.9265 0.6850 7.2396
O 1.8019 2.0047 2.6103
O 1.6069 2.8361 5.2627
O 2.4983 3.6627 0.5049
O 2.6722 -1.3603 7.9377
O 3.4000 -0.5784 3.1946
O 3.3664 0.3158 6.0926
O 4.2096 1.5812 1.1139
CELL_PARAMETERS angstrom
4.9600 0.0000 0.0000
-0.9034 4.9729 0.0000
-1.3281 -2.2832 9.8499
```

***

Which of them is the most stable, and which is the least stable? arrangement Q and arrangement R, in that order.

***

Arrangement P

This record from Alexandria via LeMat-Bulk describes a relaxed Li7Mn4CoO12 crystal. The functional is PBE with a Hubbard U. Values from VASP.

Cell and atoms, written as Quantum ESPRESSO input:
```
&SYSTEM
  ibrav = 0, nat = 24, ntyp = 4
/
ATOMIC_SPECIES
Li 6.94 Li.upf
Mn 54.94 Mn.upf
Co 58.93 Co.upf
O 16.00 O.upf
ATOMIC_POSITIONS angstrom
Li 0.0000 0.0000 0.0000
Li 1.7761 4.4578 6.1242
Li 3.2320 5.8800 4.0838
Li 3.1897 2.9400 4.1183
Li 4.5481 1.4591 6.1078
Li 4.6082 4.5301 1.9258
Li 4.5103 1.4640 1.9619
Mn 1.6160 1.4951 2.0056
Mn 4.7082 4.4623 6.1139
Mn 6.2071 5.9370 4.0348
Mn 6.1096 2.9705 4.0726
Co 1.7173 4.4781 1.9978
O 1.5712 4.4118 3.9581
O 1.5771 1.6148 4.0172
O 1.7529 4.4177 0.0475
O 1.6929 1.6641 0.0786
O 3.0679 5.8965 2.0646
O 3.1278 3.1168 1.8941
O 4.7071 4.3318 4.1611
O 4.7728 1.5871 3.9921
O 6.1392 5.8095 5.9674
O 6.0844 3.0438 5.9948
O 6.2371 5.8509 2.0694
O 6.2608 3.0404 2.1158
CELL_PARAMETERS angstrom
5.9157 0.0000 0.0000
0.2873 5.9235 0.0000
1.6201 1.4278 6.1272
```

***

Arrangement Q

This record from Alexandria via LeMat-Bulk describes a relaxed Li7Mn4CoO12 crystal. The functional is PBE with a Hubbard U. Values from VASP.

Cell and atoms, written as Quantum ESPRESSO input:
```
&SYSTEM
  ibrav = 0, nat = 24, ntyp = 4
/
ATOMIC_SPECIES
Li 6.94 Li.upf
Mn 54.94 Mn.upf
Co 58.93 Co.upf
O 16.00 O.upf
ATOMIC_POSITIONS angstrom
Li 0.0000 0.0000 0.0000
Li 0.4269 0.3089 7.2382
Li 0.5854 3.5916 4.9876
Li 1.8598 0.9868 4.9752
Li 1.6786 2.5304 0.0000
Li 2.3511 4.6919 9.5012
Li 3.6256 2.0872 9.4889
Mn 0.2745 1.7823 2.4609
Mn 2.2596 1.3685 12.0133
Mn 1.9513 4.3103 2.4632
Mn 3.9364 3.8965 12.0155
Co 2.1055 2.8394 7.2382
O 0.9673 2.3003 13.1649
O 0.5605 2.0471 6.2091
O 0.3273 0.1852 3.6032
O 2.2230 2.9826 10.9206
O 1.5726 0.8431 1.3210
O 2.1256 4.2742 6.1685
O 2.0854 1.4046 8.3080
O 2.6383 4.8356 13.1555
O 1.9879 2.6962 3.5559
O 3.8836 5.4935 10.8733
O 3.6505 3.6316 8.2674
O 3.2436 3.3785 1.3115
CELL_PARAMETERS angstrom
3.0371 0.0000 0.0000
0.3200 5.0609 0.0000
0.8538 0.6179 14.4765
```

Values from the calculation:
For the density of states at the Fermi level, the calculation gives 0.16 states/eV per atom.

***

Arrangement R

This record from Alexandria via LeMat-Bulk describes a relaxed Li7Mn4CoO12 crystal. The functional is PBE with a Hubbard U. Values from VASP.

Cell and atoms, written as Quantum ESPRESSO input:
```
&SYSTEM
  ibrav = 0, nat = 24, ntyp = 4
/
ATOMIC_SPECIES
Li 6.94 Li.upf
Mn 54.94 Mn.upf
Co 58.93 Co.upf
O 16.00 O.upf
ATOMIC_POSITIONS angstrom
Li 0.0000 0.0000 0.0000
Li -0.9225 1.3760 2.4090
Li 0.0000 2.7891 0.0000
Li 0.0000 5.7422 0.0000
Li 2.5700 1.3988 0.0000
Li 2.5700 4.2585 0.0000
Li 2.5700 7.1653 0.0000
Mn -0.9225 4.2842 2.4090
Mn 1.6475 2.8271 2.4090
Mn 1.6475 5.7247 2.4090
Mn 1.6475 8.6226 2.4090
Co -0.9225 7.1826 2.4090
O -0.2048 5.7497 3.5323
O 0.7695 7.1895 1.3731
O -0.0025 2.9076 3.4511
O 0.0059 8.5138 3.4687
O 0.9393 4.2611 1.2780
O 0.9462 1.4015 1.2921
O 2.3487 1.4015 3.5258
O 2.3557 4.2611 3.5399
O 3.2890 8.5138 1.3492
O 3.2974 2.9076 1.3668
O 2.5255 7.1895 3.4448
O 3.4998 5.7497 1.2857
CELL_PARAMETERS angstrom
5.1400 0.0000 0.0000
0.0000 8.6329 0.0000
-1.8451 0.0000 4.8179
```

***

Which of them is the most stable, and which is the least stable? arrangement P and arrangement Q, in that order.